# Zr2MnFe2 (PBE-GGA, relaxed)
# DFT formation energy: 477 meV per atom
# N(E_F): 0.956 states/eV per atom
data_Zr2MnFe2
_symmetry_space_group_name_H-M 'P 4/m b m'
_symmetry_Int_Tables_number 127
_symmetry_space_group_name_Hall '-P 4 2ab'
_cell_length_a 7.191
_cell_length_b 7.191
_cell_length_c 3.208
_cell_angle_alpha 90.00
_cell_angle_beta 90.00
_cell_angle_gamma 90.00
loop_
_atom_site_label
_atom_site_type_symbol
_atom_site_fract_x
_atom_site_fract_y
_atom_site_fract_z
Zr1 Zr 0.179 0.321 0.000
Mn1 Mn 0.000 0.000 0.000
Fe1 Fe 0.118 0.618 0.500